## Na2NdMoF8 (PBE+U)

Data for a relaxed Na2NdMoF8 crystal.

Results
The value obtained for the density is 4.3 Mg/m³. For the total DFT energy (no corrections), the calculation gives -5.578 eV per atom.

```
data_Na2NdMoF8
_cell_length_a 4.072
_cell_length_b 7.499
_cell_length_c 5.554
_cell_angle_alpha 90.00
_cell_angle_beta 92.43
_cell_angle_gamma 90.00
_symmetry_space_group_name_H-M 'P 1 2/m 1'
_symmetry_Int_Tables_number 10
_symmetry_space_group_name_Hall '-P 2y'
loop_
_atom_site_label
_atom_site_type_symbol
_atom_site_fract_x
_atom_site_fract_y
_atom_site_fract_z
_atom_site_occupancy
Na1 Na 0.000 0.234 0.000 1
Nd1 Nd 0.500 0.500 0.500 1
Mo1 Mo 0.500 0.000 0.500 1
F1 F 0.010 0.500 0.262 1
F2 F 0.078 0.000 0.270 1
F3 F 0.444 0.233 0.727 1
```